This record from Alexandria via LeMat-Bulk describes an optimized crystal structure of PmNd2Sc. The functional is PBE.

E above lowest polymorph	39.5	meV/atom
calculated density	6.17	Mg/m³
calculated total energy	-5.1105	eV per atom

Cell: 3.611 3.611 9.867 Å, 90.00 90.00 90.00°
Space group P4/mmm (No. 123)
Asymmetric unit:
Pm: 0.000 0.000 0.000
Nd: 0.500 0.500 0.265
Sc: 0.000 0.000 0.500

This record from Alexandria via LeMat-Bulk describes an optimized crystal structure of LaY2P2. The functional is PBE.

E above lowest polymorph	246.8	meV/atom
calculated density	5.18	Mg/m³
calculated total energy	-6.6656	eV per atom

Cell: 4.348 4.348 12.856 Å, 90.00 90.00 90.00°
Space group I4/mmm (No. 139)
Asymmetric unit:
La: 0.000 0.000 0.000
Y: 0.000 0.500 0.250
P: 0.000 0.000 0.394

This record from Alexandria via LeMat-Bulk describes an optimized crystal structure of SrLa4Dy3Te8. The functional is PBE.

calculated density	6.89	Mg/m³
raw formation energy	-1.4758	eV/atom
calculated total energy	-5.2465	eV per atom

Cell: 8.9898 8.9898 22.2225 Å, 90.00 90.00 120.00°
Space group R-3m (No. 166, hexagonal axes)
Asymmetric unit:
Sr: 0.0000 0.0000 0.0000
La: 0.0000 0.0000 0.5000
La: 0.0000 0.5000 0.5000
Dy: 0.0000 0.5000 0.0000
Te: 0.0000 0.0000 0.2556
Te: 0.0077 0.5039 0.2539

This record from Alexandria via LeMat-Bulk describes an optimized crystal structure of Li2MgTc. The functional is PBE.

calculated density	3.39	Mg/m³
calculated total energy	-3.7671	eV per atom

Cell: 3.283 4.271 9.516 Å, 90.00 90.00 90.00°
Space group Cmm2 (No. 35)
Asymmetric unit:
Li: 0.000 0.000 0.000
Li: 0.000 0.500 0.269
Mg: 0.000 0.500 0.733
Tc: 0.000 0.000 0.498

For each record above, in turn, the calculated M_tot values are 0.0, 0.0, 0.0, 0.0 Bohr magnetons per cell.